# CaPm3Ir2

A geometry-optimized CaPm3Ir2 structure (PBE-GGA, Alexandria via LeMat-Bulk).

Cell lengths 5.2448, 10.8395, 8.2433 Å; angles 133.92, 90.00, 104.00 degrees
Fractional positions:
Pm: 0.9367 0.8735 0.6887
Pm: 0.0633 0.1265 0.3113
Ir: 0.5185 0.0370 0.8164
Ir: 0.7761 0.5521 0.2144
Ir: 0.4815 0.9630 0.1836
Ca: 0.1611 0.3223 0.0190
Pm: 0.3319 0.6639 0.6855
Ir: 0.2239 0.4479 0.7856
Pm: 0.6201 0.2402 0.6895
Ca: 0.8389 0.6777 0.9810
Pm: 0.6681 0.3361 0.3145
Pm: 0.3799 0.7598 0.3105

Results
* ΔE_f: -434 meV per atom
* total moment: 0.000 μB per formula unit
* polymorph energy (0 for the lowest one): 102.9 meV/atom